Entry one
{"formula": "LiIn4", "functional": "PBE", "state": "relaxed", "lattice": [[-2.3362, 2.3362, 6.5431], [2.3362, -2.3362, 6.5431], [2.3362, 2.3362, -6.5431]], "species": ["Li", "In", "In", "In", "In"], "fractional_positions": [[0.0000, 0.0000, 0.0000], [0.2500, 0.7500, 0.5000], [0.3934, 0.3934, 0.0000], [0.6066, 0.6066, 0.0000], [0.7500, 0.2500, 0.5000]]}



Entry two
{"formula": "LiIn4", "functional": "PBE", "state": "relaxed", "lattice": [[7.0674, 0.0000, 0.0000], [0.0000, 6.0556, 0.0000], [-1.9592, 0.0000, 5.9714]], "species": ["Li", "Li", "In", "In", "In", "In", "In", "In", "In", "In"], "fractional_positions": [[0.0000, 0.2057, 0.2500], [0.0000, 0.7943, 0.7500], [0.2570, 0.4385, 0.6555], [0.2570, 0.5615, 0.1555], [0.3020, 0.0654, 0.0494], [0.3020, 0.9346, 0.5494], [0.6980, 0.0654, 0.4506], [0.6980, 0.9346, 0.9506], [0.7430, 0.4385, 0.8445], [0.7430, 0.5615, 0.3445]]}



Entry three
{"formula": "LiIn4", "functional": "PBE", "state": "relaxed", "lattice": [[-4.2322, 4.2322, 3.5992], [4.2322, -4.2322, 3.5992], [4.2322, 4.2322, -3.5992]], "species": ["Li", "Li", "In", "In", "In", "In", "In", "In", "In", "In"], "fractional_positions": [[0.3750, 0.6250, 0.7500], [0.6250, 0.3750, 0.2500], [0.1574, 0.7183, 0.4391], [0.2208, 0.2817, 0.9391], [0.2817, 0.2208, 0.4391], [0.2817, 0.8426, 0.0609], [0.7183, 0.1574, 0.9391], [0.7183, 0.7792, 0.5609], [0.7792, 0.7183, 0.0609], [0.8426, 0.2817, 0.5609]]}



entry two (29 meV per atom below the next structure)



Entry one
{"formula": "LiIn4", "functional": "PBE", "state": "relaxed", "lattice": [[5.1275, 0.0000, 0.0000], [0.0000, 5.1275, 0.0000], [0.0000, 0.0000, 5.1275]], "species": ["Li", "In", "In", "In", "In"], "fractional_positions": [[0.0000, 0.0000, 0.0000], [0.0000, 0.0000, 0.5000], [0.0000, 0.5000, 0.0000], [0.5000, 0.0000, 0.0000], [0.5000, 0.5000, 0.5000]]}



Entry two
{"formula": "LiIn4", "functional": "PBE", "state": "relaxed", "lattice": [[-3.1898, 3.1898, 3.1898], [3.1898, -3.1898, 3.1898], [3.1898, 3.1898, -3.1898]], "species": ["Li", "In", "In", "In", "In"], "fractional_positions": [[0.0000, 0.0000, 0.0000], [0.0000, 0.0000, 0.5000], [0.0000, 0.5000, 0.0000], [0.5000, 0.0000, 0.0000], [0.5000, 0.5000, 0.5000]]}



entry two (118 meV per atom below the next structure)



Entry one
{"formula": "Li4In", "functional": "PBE", "state": "relaxed", "lattice": [[-2.3600, 2.3600, 4.0229], [2.3600, -2.3600, 4.0229], [2.3600, 2.3600, -4.0229]], "species": ["Li", "Li", "Li", "Li", "In"], "fractional_positions": [[0.1436, 0.1436, 0.0000], [0.2500, 0.7500, 0.5000], [0.7500, 0.2500, 0.5000], [0.8564, 0.8564, 0.0000], [0.5000, 0.5000, 0.0000]]}



Entry two
{"formula": "Li4In", "functional": "PBE", "state": "relaxed", "lattice": [[-3.2083, 3.2083, 3.2083], [3.2083, -3.2083, 3.2083], [3.2083, 3.2083, -3.2083]], "species": ["Li", "Li", "Li", "Li", "In"], "fractional_positions": [[0.0000, 0.0000, 0.5000], [0.0000, 0.5000, 0.0000], [0.5000, 0.0000, 0.0000], [0.5000, 0.5000, 0.5000], [0.0000, 0.0000, 0.0000]]}



entry one (112 meV per atom below the next structure)



Entry one
{"formula": "Li3In4", "functional": "PBE", "state": "relaxed", "lattice": [[2.3620, 1.3637, 7.6354], [-2.3620, 1.3637, 7.6354], [0.0000, -2.7274, 7.6354]], "species": ["Li", "Li", "Li", "In", "In", "In", "In"], "fractional_positions": [[0.0000, 0.0000, 0.0000], [0.2538, 0.2538, 0.2538], [0.7462, 0.7462, 0.7462], [0.1290, 0.1290, 0.1290], [0.3811, 0.3811, 0.3811], [0.6189, 0.6189, 0.6189], [0.8710, 0.8710, 0.8710]]}



Entry two
{"formula": "Li3In4", "functional": "PBE", "state": "relaxed", "lattice": [[-4.2187, 4.2187, 4.2187], [4.2187, -4.2187, 4.2187], [4.2187, 4.2187, -4.2187]], "species": ["Li", "Li", "Li", "Li", "Li", "Li", "In", "In", "In", "In", "In", "In", "In", "In"], "fractional_positions": [[0.1250, 0.7500, 0.8750], [0.2500, 0.6250, 0.3750], [0.3750, 0.2500, 0.6250], [0.6250, 0.3750, 0.2500], [0.7500, 0.8750, 0.1250], [0.8750, 0.1250, 0.7500], [0.0000, 0.3334, 0.5000], [0.0000, 0.8334, 0.5000], [0.1666, 0.1666, 0.1666], [0.3334, 0.5000, 0.0000], [0.5000, 0.0000, 0.3334], [0.5000, 0.0000, 0.8334], [0.6666, 0.6666, 0.6666], [0.8334, 0.5000, 0.0000]]}



Entry three
{"formula": "Li3In4", "functional": "PBE", "state": "relaxed", "lattice": [[5.7405, 0.0000, 0.0000], [-2.8702, 4.9714, 0.0000], [0.0000, 0.0000, 5.4092]], "species": ["Li", "Li", "Li", "In", "In", "In", "In"], "fractional_positions": [[0.0000, 0.5000, 0.0000], [0.5000, 0.0000, 0.0000], [0.5000, 0.5000, 0.0000], [0.0000, 0.0000, 0.2507], [0.0000, 0.0000, 0.7493], [0.3333, 0.6667, 0.5000], [0.6667, 0.3333, 0.5000]]}



entry one (22 meV per atom below the next structure)



Entry one
{"formula": "Li5In", "functional": "PBE", "state": "relaxed", "lattice": [[1.9405, -6.4254, 0.0000], [1.9405, 6.4254, 0.0000], [0.0000, 0.0000, 4.5413]], "species": ["Li", "Li", "Li", "Li", "Li", "In"], "fractional_positions": [[0.0000, 0.0000, 0.0000], [0.1668, 0.8332, 0.5000], [0.3407, 0.6593, 0.0000], [0.6593, 0.3407, 0.0000], [0.8332, 0.1668, 0.5000], [0.5000, 0.5000, 0.5000]]}



Entry two
{"formula": "Li5In", "functional": "PBE", "state": "relaxed", "lattice": [[4.8926, -2.3810, 0.0000], [4.8926, 2.3810, 0.0000], [-3.3246, 0.0000, 4.6998]], "species": ["Li", "Li", "Li", "Li", "Li", "In"], "fractional_positions": [[0.0000, 0.0000, 0.0000], [0.3296, 0.3296, 0.5338], [0.3346, 0.3346, 0.0516], [0.6654, 0.6654, 0.9484], [0.6704, 0.6704, 0.4662], [0.0000, 0.0000, 0.5000]]}



Entry three
{"formula": "Li5In", "functional": "PBE", "state": "relaxed", "lattice": [[5.2897, 0.0000, 0.0000], [-2.6448, 4.5810, 0.0000], [0.0000, 0.0000, 4.8167]], "species": ["Li", "Li", "Li", "Li", "Li", "In"], "fractional_positions": [[0.0000, 0.5000, 0.0000], [0.3333, 0.6667, 0.5000], [0.5000, 0.0000, 0.0000], [0.5000, 0.5000, 0.0000], [0.6667, 0.3333, 0.5000], [0.0000, 0.0000, 0.5000]]}



Entry four
{"formula": "Li5In", "functional": "PBE", "state": "relaxed", "lattice": [[4.1171, -2.3732, 0.0000], [4.1171, 2.3732, 0.0000], [-0.2224, 0.0000, 5.7025]], "species": ["Li", "Li", "Li", "Li", "Li", "In"], "fractional_positions": [[0.0000, 0.0000, 0.0000], [0.3312, 0.3312, 0.2655], [0.3355, 0.3355, 0.7314], [0.6645, 0.6645, 0.2686], [0.6688, 0.6688, 0.7345], [0.0000, 0.0000, 0.5000]]}



entry two (12 meV per atom below the next structure)



Entry one
{"formula": "LiIn5", "functional": "PBE", "state": "relaxed", "lattice": [[5.8344, -1.7030, 0.0000], [5.8344, 1.7030, 0.0000], [-2.7401, 0.0000, 7.6197]], "species": ["Li", "In", "In", "In", "In", "In"], "fractional_positions": [[0.0000, 0.0000, 0.0000], [0.2946, 0.2946, 0.0547], [0.3121, 0.3121, 0.6630], [0.5953, 0.5953, 0.7511], [0.6771, 0.6771, 0.3075], [0.9665, 0.9665, 0.3987]]}



Entry two
{"formula": "LiIn5", "functional": "PBE", "state": "relaxed", "lattice": [[2.2891, -6.9836, 0.0000], [2.2891, 6.9836, 0.0000], [0.0000, 0.0000, 4.6814]], "species": ["Li", "In", "In", "In", "In", "In"], "fractional_positions": [[0.0000, 0.0000, 0.0000], [0.1619, 0.8381, 0.5000], [0.3367, 0.6633, 0.0000], [0.5000, 0.5000, 0.5000], [0.6633, 0.3367, 0.0000], [0.8381, 0.1619, 0.5000]]}



entry two (15 meV per atom below the next structure)



Entry one
{"formula": "Li4In3", "functional": "PBE", "state": "relaxed", "lattice": [[-1.6354, 1.7944, 11.3305], [1.6354, -1.7944, 11.3305], [1.6354, 1.7944, -11.3305]], "species": ["Li", "Li", "Li", "Li", "In", "In", "In"], "fractional_positions": [[0.0719, 0.0719, 0.0000], [0.2158, 0.2158, 0.0000], [0.7842, 0.7842, 0.0000], [0.9281, 0.9281, 0.0000], [0.3529, 0.3529, 0.0000], [0.5000, 0.5000, 0.0000], [0.6471, 0.6471, 0.0000]]}



Entry two
{"formula": "Li4In3", "functional": "PBE", "state": "relaxed", "lattice": [[5.9906, 0.0000, 0.0000], [-2.9953, 5.1880, 0.0000], [0.0000, 0.0000, 5.0883]], "species": ["Li", "Li", "Li", "Li", "In", "In", "In"], "fractional_positions": [[0.0000, 0.0000, 0.2411], [0.0000, 0.0000, 0.7589], [0.3333, 0.6667, 0.5000], [0.6667, 0.3333, 0.5000], [0.0000, 0.5000, 0.0000], [0.5000, 0.0000, 0.0000], [0.5000, 0.5000, 0.0000]]}



Entry three
{"formula": "Li4In3", "functional": "PBE", "state": "relaxed", "lattice": [[2.4280, 1.4018, 7.0242], [-2.4280, 1.4018, 7.0242], [0.0000, -2.8036, 7.0242]], "species": ["Li", "Li", "Li", "Li", "In", "In", "In"], "fractional_positions": [[0.0824, 0.0824, 0.0824], [0.3651, 0.3651, 0.3651], [0.6349, 0.6349, 0.6349], [0.9176, 0.9176, 0.9176], [0.2332, 0.2332, 0.2332], [0.5000, 0.5000, 0.5000], [0.7668, 0.7668, 0.7668]]}



entry one (68 meV per atom below the next structure)



Entry one
{"formula": "LiIn6", "functional": "PBE", "state": "relaxed", "lattice": [[2.6807, 1.5477, 7.2668], [-2.6807, 1.5477, 7.2668], [0.0000, -3.0954, 7.2668]], "species": ["Li", "In", "In", "In", "In", "In", "In"], "fractional_positions": [[0.0000, 0.0000, 0.0000], [0.1353, 0.1353, 0.1353], [0.2790, 0.2790, 0.2790], [0.4257, 0.4257, 0.4257], [0.5743, 0.5743, 0.5743], [0.7210, 0.7210, 0.7210], [0.8647, 0.8647, 0.8647]]}



Entry two
{"formula": "LiIn6", "functional": "PBE", "state": "relaxed", "lattice": [[-4.0867, 4.0867, 4.0867], [4.0867, -4.0867, 4.0867], [4.0867, 4.0867, -4.0867]], "species": ["Li", "In", "In", "In", "In", "In", "In"], "fractional_positions": [[0.0000, 0.0000, 0.0000], [0.2500, 0.5000, 0.7500], [0.2500, 0.7500, 0.5000], [0.5000, 0.2500, 0.7500], [0.5000, 0.7500, 0.2500], [0.7500, 0.2500, 0.5000], [0.7500, 0.5000, 0.2500]]}



entry one (370 meV per atom below the next structure)



Entry one
{"formula": "Li13In3", "functional": "PBE", "state": "relaxed", "lattice": [[6.7057, 0.0000, 0.0000], [0.0000, 4.7678, 4.8240], [0.0000, -4.7678, 4.8240]], "species": ["Li", "Li", "Li", "Li", "Li", "Li", "Li", "Li", "Li", "Li", "Li", "Li", "Li", "In", "In", "In"], "fractional_positions": [[0.0000, 0.0000, 0.0000], [0.0000, 0.4857, 0.9962], [0.0000, 0.4884, 0.4884], [0.0000, 0.9962, 0.4857], [0.2483, 0.7402, 0.7402], [0.2561, 0.2402, 0.7417], [0.2561, 0.7417, 0.2402], [0.5000, 0.4864, 0.4864], [0.5000, 0.4919, 0.9950], [0.5000, 0.9950, 0.4919], [0.7439, 0.2402, 0.7417], [0.7439, 0.7417, 0.2402], [0.7517, 0.7402, 0.7402], [0.2521, 0.2469, 0.2469], [0.5000, 0.9768, 0.9768], [0.7479, 0.2469, 0.2469]]}



Entry two
{"formula": "Li13In3", "functional": "PBE", "state": "relaxed", "lattice": [[9.5220, 0.0000, 0.0000], [0.0000, 4.6882, 3.3406], [0.0000, -4.6882, 3.3406]], "species": ["Li", "Li", "Li", "Li", "Li", "Li", "Li", "Li", "Li", "Li", "Li", "Li", "Li", "In", "In", "In"], "fractional_positions": [[0.0000, 0.0000, 0.0000], [0.0000, 0.0358, 0.4855], [0.0000, 0.4855, 0.0358], [0.0000, 0.5258, 0.5258], [0.2471, 0.7401, 0.7401], [0.2546, 0.2396, 0.7662], [0.2546, 0.7662, 0.2396], [0.5000, 0.0297, 0.4850], [0.5000, 0.4850, 0.0297], [0.5000, 0.5221, 0.5221], [0.7454, 0.2396, 0.7662], [0.7454, 0.7662, 0.2396], [0.7529, 0.7401, 0.7401], [0.2431, 0.2733, 0.2733], [0.5000, 0.9743, 0.9743], [0.7569, 0.2733, 0.2733]]}



Entry three
{"formula": "Li13In3", "functional": "PBE", "state": "relaxed", "lattice": [[0.0000, 6.6283, 6.6283], [6.6283, 0.0000, 6.6283], [6.6283, 6.6283, 0.0000]], "species": ["Li", "Li", "Li", "Li", "Li", "Li", "Li", "Li", "Li", "Li", "Li", "Li", "Li", "Li", "Li", "Li", "Li", "Li", "Li", "Li", "Li", "Li", "Li", "Li", "Li", "Li", "In", "In", "In", "In", "In", "In"], "fractional_positions": [[0.0000, 0.0000, 0.0000], [0.0000, 0.0000, 0.5000], [0.0000, 0.5000, 0.0000], [0.1220, 0.1220, 0.6280], [0.1220, 0.6280, 0.1220], [0.1220, 0.6280, 0.6280], [0.2558, 0.2558, 0.2558], [0.2558, 0.2558, 0.7327], [0.2558, 0.7327, 0.2558], [0.2673, 0.7442, 0.7442], [0.3720, 0.3720, 0.8780], [0.3720, 0.8780, 0.3720], [0.3720, 0.8780, 0.8780], [0.3750, 0.3750, 0.3750], [0.5000, 0.0000, 0.0000], [0.6250, 0.6250, 0.6250], [0.6280, 0.1220, 0.1220], [0.6280, 0.1220, 0.6280], [0.6280, 0.6280, 0.1220], [0.7327, 0.2558, 0.2558], [0.7442, 0.2673, 0.7442], [0.7442, 0.7442, 0.2673], [0.7442, 0.7442, 0.7442], [0.8780, 0.3720, 0.3720], [0.8780, 0.3720, 0.8780], [0.8780, 0.8780, 0.3720], [0.0000, 0.5000, 0.5000], [0.1250, 0.1250, 0.1250], [0.5000, 0.0000, 0.5000], [0.5000, 0.5000, 0.0000], [0.5000, 0.5000, 0.5000], [0.8750, 0.8750, 0.8750]]}



entry three (27 meV per atom below the next structure)